{"formula": "CaErSi2Pd5", "functional": "GGA-PBE", "state": "relaxed", "formation_energy_uncorrected_ev_per_atom": -0.825, "m_tot_mub_per_cell": 0.0, "lattice": [[-0.868, 4.090, 0.223], [-3.485, -0.857, 2.156], [4.577, 0.557, 7.619]], "species": ["Pd", "Pd", "Ca", "Si", "Pd", "Pd", "Pd", "Er", "Si"], "frac_coords": [[0.000, 0.500, 0.263], [0.500, 0.500, 0.500], [0.000, 0.000, 0.500], [0.500, 0.500, 0.868], [0.000, 0.500, 0.737], [0.500, 0.000, 0.263], [0.500, 0.000, 0.737], [0.000, 0.000, 0.000], [0.500, 0.500, 0.132]]}